(1)
DFT (PBE-GGA) results for an optimized crystal structure of ZrRuN2.

Cell and atoms, written as POSCAR:
```
ZrRuN2
1.0
1.6445 0.9494 6.0687
-1.6445 0.9494 6.0687
0.0000 -1.8989 6.0687
Zr Ru N
1 1 2
Cartesian
0.0000 0.0000 0.0000
0.0000 0.0000 9.1031
0.0000 0.0000 7.1838
0.0000 0.0000 11.0224
```

Results
relative energy among the computed polymorphs = 16.5 kJ/mol of atoms
density of states at the Fermi level = 2.8 states/eV per cell

=====

(2)
DFT (PBE-GGA) results for an optimized crystal structure of ZrRuN.

Cell and atoms, written as POSCAR:
```
ZrRuN
1.0
4.5205 0.0000 0.0000
0.0000 4.0319 0.0000
0.0000 0.0000 4.5228
Zr Ru N
2 2 2
Cartesian
1.1301 0.0000 1.1217
3.3904 0.0000 3.4011
1.1301 2.0159 3.2588
3.3904 2.0159 1.2640
1.1301 0.0000 3.4293
3.3904 0.0000 1.0935
```

Results
relative energy among the computed polymorphs = 0.0 kJ/mol of atoms
density of states at the Fermi level = 5.1 states/eV per cell

=====

(3)
DFT (PBE-GGA) results for an optimized crystal structure of ZrRuN2.

Cell and atoms, written as POSCAR:
```
ZrRuN2
1.0
0.0000 2.7823 2.7823
2.7823 0.0000 2.7823
2.7823 2.7823 0.0000
Zr Ru N
1 1 2
Cartesian
0.0000 0.0000 0.0000
2.7823 2.7823 2.7823
1.3911 1.3911 1.3911
4.1734 4.1734 4.1734
```

Results
relative energy among the computed polymorphs = 41.4 kJ/mol of atoms
density of states at the Fermi level = 2.4 states/eV per cell

=====

(4)
DFT (PBE-GGA) results for an optimized crystal structure of ZrRuN.

Cell and atoms, written as POSCAR:
```
ZrRuN
1.0
5.2117 -1.5899 0.0000
5.2117 1.5899 0.0000
-1.2161 0.0000 5.0074
Zr Ru N
2 2 2
Cartesian
0.0000 0.0000 0.0000
1.4851 0.0000 3.2837
4.2296 0.0000 2.3645
7.7769 0.0000 0.8459
5.3670 0.0000 4.1769
8.2530 0.0000 2.7985
```

Results
relative energy among the computed polymorphs = 15.1 kJ/mol of atoms
density of states at the Fermi level = 4.6 states/eV per cell

=====

(5)
DFT (PBE-GGA) results for an optimized crystal structure of ZrRuN.

Cell and atoms, written as POSCAR:
```
ZrRuN
1.0
3.1894 -4.0404 0.0000
3.1894 4.0404 0.0000
0.0000 0.0000 3.1818
Zr Ru N
2 2 2
Cartesian
3.1894 2.1810 0.0000
3.1894 -2.1810 0.0000
1.7277 0.0000 1.5909
4.6512 0.0000 1.5909
1.5947 2.0202 1.5909
1.5947 -2.0202 1.5909
```

Results
relative energy among the computed polymorphs = 0.1 kJ/mol of atoms
density of states at the Fermi level = 5.7 states/eV per cell

=====

(6)
DFT (PBE-GGA) results for an optimized crystal structure of S5N6.

Cell and atoms, written as POSCAR:
```
S5N6
1.0
4.8210 -6.0011 0.0000
4.8210 6.0011 0.0000
-1.9950 0.0000 7.6115
S N
10 12
Cartesian
3.3247 4.8843 5.7086
2.5111 2.5760 7.5269
2.1752 0.9812 5.1841
4.1384 2.5760 3.8904
3.1727 -0.9812 1.3784
4.4743 0.9812 6.2331
3.5086 -2.5760 3.7211
5.4718 -0.9812 2.4274
5.1359 -2.5760 0.0846
4.3223 -4.8843 1.9029
2.8392 4.1921 7.0093
3.8103 4.1921 4.4080
1.5720 1.8321 6.4179
2.7262 1.7518 3.8761
3.9233 1.7518 7.5411
2.5695 -1.8321 2.6121
5.0775 1.8321 4.9993
3.7237 -1.7518 0.0704
4.9208 -1.7518 3.7353
6.0750 -1.8321 1.1936
3.8367 -4.1921 3.2035
4.8078 -4.1921 0.6022
```

Results
density of states at the Fermi level = 0.0 states/eV per cell
uncorrected energy = -5.77 eV/atom

=====

(7)
DFT (PBE-GGA) results for an optimized crystal structure of SN4.

Cell and atoms, written as POSCAR:
```
SN4
1.0
3.3943 0.0000 0.0000
0.0000 3.3943 0.0000
0.0000 0.0000 3.3943
S N
1 4
Cartesian
0.0000 0.0000 0.0000
0.0000 0.0000 1.6971
0.0000 1.6971 0.0000
1.6971 0.0000 0.0000
1.6971 1.6971 1.6971
```

Results
density of states at the Fermi level = 2.5 states/eV per cell
uncorrected energy = -4.39 eV/atom

=====

(8)
DFT (PBE-GGA) results for an optimized crystal structure of S2N.

Cell and atoms, written as POSCAR:
```
S2N
1.0
11.8680 0.0000 0.0000
0.0000 11.8680 0.0000
0.0000 0.0000 4.2539
S N
16 8
Cartesian
1.4055 1.4055 1.2895
1.7809 7.7744 0.0000
1.8404 4.1531 2.1269
2.1339 9.7341 3.6615
3.8001 3.8001 1.5346
4.0936 10.0871 0.0000
4.1531 1.8404 2.1269
4.5285 7.3395 3.4165
7.3395 4.5285 3.4165
7.7149 10.0276 2.1269
7.7744 1.7809 0.0000
8.0679 8.0679 1.5346
9.7341 2.1339 3.6615
10.0276 7.7149 2.1269
10.0871 4.0936 0.0000
10.4625 10.4625 1.2895
0.9499 2.9044 1.4988
2.9044 0.9499 1.4988
3.0296 6.8839 3.6258
4.9841 8.8384 3.6258
6.8839 3.0296 3.6258
8.8384 4.9841 3.6258
8.9636 10.9181 1.4988
10.9181 8.9636 1.4988
```

Results
relative energy among the computed polymorphs = 20.3 kJ/mol of atoms

=====

(9)
DFT (PBE-GGA) results for an optimized crystal structure of S3N2.

Cell and atoms, written as POSCAR:
```
S3N2
1.0
8.8252 0.0000 0.0000
0.0000 5.6481 0.0000
0.0000 0.0000 4.2604
S N
6 4
Cartesian
0.0000 1.0059 0.0000
2.0569 4.6083 3.9924
2.3557 1.0398 1.8621
4.4126 4.6422 2.1302
6.4695 1.0398 1.8621
6.7683 4.6083 3.9924
1.3716 0.1807 0.6197
3.0410 5.4674 2.7500
5.7842 5.4674 2.7500
7.4536 0.1807 0.6197
```

Results
relative energy among the computed polymorphs = 0.0 kJ/mol of atoms
density of states at the Fermi level = 0.0 states/eV per cell

=====

(10)
DFT (PBE-GGA) results for an optimized crystal structure of S2N.

Cell and atoms, written as POSCAR:
```
S2N
1.0
3.8513 -1.5870 0.0000
3.8513 1.5870 0.0000
-1.6235 0.0000 13.7973
S N
4 2
Cartesian
0.2233 0.0000 2.8985
-0.2892 0.0000 11.9930
6.3683 0.0000 1.8044
5.8558 0.0000 10.8989
-0.4182 0.0000 7.2924
6.4974 0.0000 6.5049
```

Results
relative energy among the computed polymorphs = 0.0 kJ/mol of atoms
density of states at the Fermi level = 1.8 states/eV per cell

=====

(11)
DFT (PBE-GGA) results for an optimized crystal structure of SN2.

Cell and atoms, written as POSCAR:
```
SN2
1.0
2.5934 0.0000 0.0000
0.0001 2.7280 0.0000
0.5343 0.0960 9.2963
S N
1 2
Cartesian
0.0000 0.0000 0.0000
0.2380 0.0709 4.0940
2.8313 0.0709 5.2044
```

Results
density of states at the Fermi level = 0.8 states/eV per cell
uncorrected energy = -6.42 eV/atom